A plane-wave DFT calculation with PBE was carried out for Cs2Hg4Bi after structural relaxation.

Properties
DFT formation energy	-178	meV/atom
symmetry	I4/mmm
calculated density	6.0	g/cm³

Unit cell a=10.7815 b=10.7815 c=10.7815 alpha=147.86 beta=147.86 gamma=46.09
With the nearest neighbours (Å) after each atom.
Fractional coordinates of all 7 atoms:
1 Cs 0.1331 0.1331 0.0000  9 Hg 3.89-4.29
2 Cs 0.8669 0.8669 0.0000  9 Hg 3.89-4.29
3 Hg 0.0000 0.5000 0.5000  2 Bi 2.98
4 Hg 0.3290 0.3290 0.0000  1 Bi 3.39
5 Hg 0.5000 0.0000 0.5000  2 Bi 2.98
6 Hg 0.6710 0.6710 0.0000  1 Bi 3.39
7 Bi 0.5000 0.5000 0.0000  4 Hg 2.98